# 1
Compound: Nd2ErAl3
Source: Alexandria via LeMat-Bulk
Functional: GGA-PBE
Structure: relaxed

Cell lengths 8.2038, 8.2038, 7.3739 Å; angles 90.00, 90.00, 143.14 degrees
Element x y z (fractional)
Al 0.8298 0.1702 0.7613
Al 0.8298 0.1702 0.2387
Al 0.1702 0.8298 0.7613
Al 0.5000 0.5000 0.2382
Al 0.1702 0.8298 0.2387
Al 0.5000 0.5000 0.7618
Er 0.3325 0.6675 0.0000
Er 0.6675 0.3325 0.0000
Nd 0.6636 0.3364 0.5000
Nd 0.0000 0.0000 0.5000
Nd 0.3364 0.6636 0.5000
Nd 0.0000 0.0000 0.0000

Properties
ΔH_f (0 K) (eV per formula unit): -2.17
Symmetry: No. 65


# 2
Compound: AcZnBi
Source: Alexandria via LeMat-Bulk
Functional: GGA-PBE
Structure: relaxed

Cell lengths 3.9469, 3.9469, 6.4544 Å; angles 107.80, 107.80, 90.00 degrees
Element x y z (fractional)
Bi 0.3074 0.3074 0.6148
Zn 0.6821 0.6821 0.3643
Ac 0.0105 0.0105 0.0209

Properties
ΔH_f (0 K) (eV per formula unit): -0.97
Distance to the lowest polymorph of the same formula (eV per atom): 0.245
Symmetry: No. 107


# 3
Compound: POsRuN
Source: Alexandria via LeMat-Bulk
Functional: GGA-PBE
Structure: relaxed

Cell lengths 2.9913, 2.9913, 19.7596 Å; angles 90.00, 90.00, 120.00 degrees
Each line ends with the local moment (μB).
Element x y z (fractional)
Os 0.3333 0.6667 0.9128  0.02
Os 0.0000 0.0000 0.2462  0.02
Os 0.6667 0.3333 0.5795  0.02
Ru 0.6667 0.3333 0.7954  0.10
Ru 0.3333 0.6667 0.1287  0.10
Ru 0.0000 0.0000 0.4620  0.10
P 0.3333 0.6667 0.3203  0.00
P 0.0000 0.0000 0.6537  0.00
P 0.6667 0.3333 0.9870  0.00
N 0.3333 0.6667 0.4049  0.00
N 0.0000 0.0000 0.7383  0.00
N 0.6667 0.3333 0.0716  0.00

Properties
Energy relative to the elements, uncorrected (meV/atom): 182.5
Distance to the lowest polymorph of the same formula (eV per atom): 0.134
Symmetry: No. 160


# 4
Compound: NaLiN2F
Source: Alexandria via LeMat-Bulk
Functional: GGA-PBE
Structure: relaxed

Cell lengths 3.7116, 3.7116, 4.3099 Å; angles 90.00, 90.00, 90.00 degrees
Each line ends with the local moment (μB).
Element x y z (fractional)
Li 0.0000 0.0000 0.0000  0.02
Na 0.5000 0.5000 0.5000  0.00
N 0.0000 0.5000 0.0000  0.92
N 0.5000 0.0000 0.0000  0.92
F 0.0000 0.0000 0.5000  0.19

Properties
Energy relative to the elements, uncorrected (meV/atom): 542.7
Distance to the lowest polymorph of the same formula (eV per atom): 0.000
Symmetry: No. 123


# 5
Compound: Pm5Sc4
Source: Alexandria via LeMat-Bulk
Functional: GGA-PBE
Structure: relaxed

Cell lengths 4.8802, 7.7860, 7.7860 Å; angles 84.34, 71.71, 71.71 degrees
Element x y z (fractional)
Sc 0.6671 0.3325 0.3333
Sc 0.3329 0.0008 0.3333
Sc 0.3329 0.6667 0.6675
Sc 0.6671 0.6667 0.9992
Pm 0.0000 0.6667 0.3333
Pm 0.0000 0.3397 0.6603
Pm 0.0000 0.9936 0.0064
Pm 0.3268 0.3398 0.0064
Pm 0.6732 0.9936 0.6602

Properties
ΔH_f (0 K) (eV per formula unit): 0.54
Symmetry: No. 139


# 6
Compound: PaAsI
Source: Alexandria via LeMat-Bulk
Functional: GGA-PBE
Structure: relaxed

Cell lengths 3.7035, 3.7035, 6.7159 Å; angles 106.01, 106.01, 90.00 degrees
Each line ends with the local moment (μB).
Element x y z (fractional)
Pa 0.6907 0.6907 0.3814  0.51
I 0.0190 0.0190 0.0379  -0.02
As 0.2904 0.2904 0.5807  -0.03

Properties
Energy relative to the elements, uncorrected (meV/atom): -627.6
Distance to the lowest polymorph of the same formula (eV per atom): 0.226
Symmetry: No. 107


Calculated total energy list, top to bottom, in eV per atom: -4.5834 -3.4098 -8.3777 -3.8082 -5.3935 -5.8595